An optimized crystal structure of AlGaIr2Os. Source: Alexandria via LeMat-Bulk, functional PBE.

a = 4.483 Å, b = 4.483 Å, c = 4.535 Å
α = 90.00°, β = 90.00°, γ = 90.00°
Positions (direct):
Al  0.000  0.000  0.000
Ga  0.500  0.500  0.500
Ir  0.000  0.500  0.500
Ir  0.500  0.000  0.500
Os  0.500  0.500  0.000

Properties
Total DFT energy (no corrections)   -5.9178 eV/atom
Energy of formation   1.23 eV/atom
Space-group type   P4/mmm, No. 123

***

An optimized crystal structure of CoAu2. Source: Alexandria via LeMat-Bulk, functional PBE.

a = 4.499 Å, b = 4.499 Å, c = 2.721 Å
α = 90.00°, β = 90.00°, γ = 90.00°
Positions (direct):
Co  0.000  0.000  0.000
Au  0.000  0.500  0.500
Au  0.500  0.000  0.500

Properties
Total DFT energy (no corrections)   -4.2360 eV/atom
Energy of formation   0.32 eV/atom
Space-group type   P4/mmm, No. 123

***

- Which value of energy of formation does entry 2 give?
  0.32 eV/atom

***

What did the first record say?
An optimized crystal structure of AlGaIr2Os. Source: Alexandria via LeMat-Bulk, functional PBE.

a = 4.483 Å, b = 4.483 Å, c = 4.535 Å
α = 90.00°, β = 90.00°, γ = 90.00°
Positions (direct):
Al  0.000  0.000  0.000
Ga  0.500  0.500  0.500
Ir  0.000  0.500  0.500
Ir  0.500  0.000  0.500
Os  0.500  0.500  0.000

Properties
Total DFT energy (no corrections)   -5.9178 eV/atom
Energy of formation   1.23 eV/atom
Space-group type   P4/mmm, No. 123